[1]
Density functional theory data (GGA-PBE) for crystalline ScSn2 at its relaxed geometry.

Computed properties:
Space group = Pnma
Final energy = -62.6 eV/cell
Energy relative to the elements = -0.44 eV per atom
D(E_F) = 5.807 states/eV per cell

a = 4.4849 Å, b = 6.1439 Å, c = 10.4216 Å
α = 90.00°, β = 90.00°, γ = 90.00°
With the nearest neighbours (Å) after each atom.
Atoms (fractional coordinates):
Sc 0.7500 0.8532 0.1199  9 Sn 3.01-3.34
Sc 0.2500 0.6468 0.6199  9 Sn 3.01-3.34
Sc 0.7500 0.3532 0.3801  9 Sn 3.01-3.34
Sn 0.2500 0.6446 0.9408  4 Sn 3.12-3.14, 5 Sc 3.12-3.34
Sn 0.7500 0.3554 0.0592  4 Sn 3.12-3.14, 5 Sc 3.12-3.34
Sn 0.7500 0.3708 0.7225  4 Sc 3.01-3.10, 4 Sn 3.12-3.14
Sn 0.7500 0.8554 0.4408  4 Sn 3.12-3.14, 5 Sc 3.12-3.34
Sn 0.2500 0.1446 0.5592  4 Sn 3.12-3.14, 5 Sc 3.12-3.34
Sn 0.2500 0.1292 0.2225  4 Sc 3.01-3.10, 4 Sn 3.12-3.14
Sn 0.2500 0.6292 0.2775  4 Sc 3.01-3.10, 4 Sn 3.12-3.14
Sc 0.2500 0.1468 0.8801  9 Sn 3.01-3.34
Sn 0.7500 0.8708 0.7775  4 Sc 3.01-3.10, 4 Sn 3.12-3.14



[2]
Density functional theory data (GGA-PBE) for crystalline ScSn2 at its relaxed geometry.

Computed properties:
Space group = I4_1/amd
Final energy = -63.0 eV/cell
Energy relative to the elements = -0.47 eV per atom
D(E_F) = 6.390 states/eV per cell

a = 15.8678 Å, b = 15.8678 Å, c = 15.8678 Å
α = 164.50°, β = 164.50°, γ = 21.98°
With the nearest neighbours (Å) after each atom.
Atoms (fractional coordinates):
Sn 0.8415 0.8415 0.0000  2 Sn 2.99, 6 Sc 3.06-3.33
Sc 0.3264 0.3264 0.0000  10 Sn 3.06-3.33
Sn 0.1585 0.1585 0.0000  2 Sn 2.99, 6 Sc 3.06-3.33
Sn 0.5915 0.0915 0.5000  2 Sn 2.99, 6 Sc 3.06-3.33
Sn 0.7500 0.2500 0.5000  4 Sn 3.03, 4 Sc 3.20
Sn 0.0000 0.0000 0.0000  4 Sn 3.03, 4 Sc 3.20
Sn 0.5000 0.5000 0.0000  4 Sn 3.03, 4 Sc 3.20
Sc 0.4236 0.9236 0.5000  10 Sn 3.06-3.33
Sn 0.9085 0.4085 0.5000  2 Sn 2.99, 6 Sc 3.06-3.33
Sc 0.6736 0.6736 0.0000  10 Sn 3.06-3.33
Sc 0.0764 0.5764 0.5000  10 Sn 3.06-3.33
Sn 0.2500 0.7500 0.5000  4 Sn 3.03, 4 Sc 3.20



[3]
Density functional theory data (GGA-PBE) for crystalline ScSn at its relaxed geometry.

Computed properties:
Space group = Fm-3m
Final energy = -44.2 eV/cell
Energy relative to the elements = -0.36 eV per atom
D(E_F) = 7.479 states/eV per cell

a = 5.9056 Å, b = 5.9056 Å, c = 5.9056 Å
α = 90.00°, β = 90.00°, γ = 90.00°
With the nearest neighbours (Å) after each atom.
Atoms (fractional coordinates):
Sc 0.0000 0.5000 0.0000  6 Sn 2.95
Sn 0.0000 0.5000 0.5000  6 Sc 2.95
Sn 0.5000 0.0000 0.5000  6 Sc 2.95
Sn 0.5000 0.5000 0.0000  6 Sc 2.95
Sn 0.0000 0.0000 0.0000  6 Sc 2.95
Sc 0.5000 0.5000 0.5000  6 Sn 2.95
Sc 0.0000 0.0000 0.5000  6 Sn 2.95
Sc 0.5000 0.0000 0.0000  6 Sn 2.95



[4]
Density functional theory data (GGA-PBE) for crystalline ScSn at its relaxed geometry.

Computed properties:
Space group = P6_3/mmc
Final energy = -21.0 eV/cell
Energy relative to the elements = -0.08 eV per atom
D(E_F) = 5.297 states/eV per cell

a = 5.0899 Å, b = 5.0899 Å, c = 5.7573 Å
α = 90.00°, β = 90.00°, γ = 120.00°
With the nearest neighbours (Å) after each atom.
Atoms (fractional coordinates):
Sn 0.3333 0.6667 0.7500  5 Sc 2.88-2.94
Sn 0.6667 0.3333 0.2500  5 Sc 2.88-2.94
Sc 0.6667 0.3333 0.7500  5 Sn 2.88-2.94
Sc 0.3333 0.6667 0.2500  5 Sn 2.88-2.94



[5]
Density functional theory data (GGA-PBE) for crystalline Sc13Sn2 at its relaxed geometry.

Computed properties:
Space group = P-1
Final energy = -93.0 eV/cell
Energy relative to the elements = -0.18 eV per atom
D(E_F) = 25.462 states/eV per cell

a = 6.2834 Å, b = 7.8194 Å, c = 8.1590 Å
α = 113.00°, β = 77.91°, γ = 97.14°
With the nearest neighbours (Å) after each atom.
Atoms (fractional coordinates):
Sn 0.9359 0.7684 0.6211  8 Sc 2.97-3.19
Sc 0.1975 0.7799 0.1583  9 Sc 3.02-3.33
Sc 0.0000 0.0000 0.0000  2 Sn 2.99, 6 Sc 3.02-3.19
Sc 0.2669 0.0634 0.5840  2 Sn 2.97-3.03, 5 Sc 3.07-3.31
Sc 0.3746 0.5889 0.3872  2 Sn 3.14-3.19, 11 Sc 3.22-3.51
Sc 0.6861 0.6590 0.0247  10 Sc 3.13-3.39
Sc 0.1217 0.5170 0.7505  2 Sn 3.01-3.05, 7 Sc 3.09-3.28
Sc 0.3139 0.3410 0.9753  10 Sc 3.13-3.39
Sc 0.8025 0.2201 0.8417  9 Sc 3.02-3.33
Sc 0.7331 0.9366 0.4160  2 Sn 2.97-3.03, 5 Sc 3.07-3.31
Sc 0.8783 0.4830 0.2495  2 Sn 3.01-3.05, 7 Sc 3.09-3.28
Sc 0.4724 0.8541 0.7945  1 Sn 2.99, 7 Sc 3.18-3.33
Sn 0.0641 0.2316 0.3789  8 Sc 2.97-3.19
Sc 0.6254 0.4111 0.6128  2 Sn 3.14-3.19, 11 Sc 3.22-3.51
Sc 0.5276 0.1459 0.2055  1 Sn 2.99, 7 Sc 3.18-3.33



[6]
Density functional theory data (GGA-PBE) for crystalline Sc4Sn3 at its relaxed geometry.

Computed properties:
Space group = I-43d
Final energy = -83.7 eV/cell
Energy relative to the elements = -0.65 eV per atom
D(E_F) = 1.932 states/eV per cell
Energy above the lowest structure with this stoichiometry = 0.0 meV per atom

a = 7.5808 Å, b = 7.5808 Å, c = 7.5808 Å
α = 109.47°, β = 109.47°, γ = 109.47°
With the nearest neighbours (Å) after each atom.
Atoms (fractional coordinates):
Sn 0.7500 0.6250 0.3750  8 Sc 2.94-3.12
Sc 0.6473 0.1473 0.1473  6 Sn 2.94-3.12
Sc 0.0000 0.0000 0.3527  6 Sn 2.94-3.12
Sc 0.1473 0.6473 0.6473  6 Sn 2.94-3.12
Sn 0.3750 0.1250 0.7500  8 Sc 2.94-3.12
Sn 0.1250 0.3750 0.2500  8 Sc 2.94-3.12
Sn 0.8750 0.2500 0.6250  8 Sc 2.94-3.12
Sc 0.0000 0.0000 0.8527  6 Sn 2.94-3.12
Sn 0.2500 0.8750 0.1250  8 Sc 2.94-3.12
Sn 0.6250 0.7500 0.8750  8 Sc 2.94-3.12
Sc 0.8527 0.5000 0.0000  6 Sn 2.94-3.12
Sc 0.5000 0.3527 0.5000  6 Sn 2.94-3.12
Sc 0.3527 0.5000 0.0000  6 Sn 2.94-3.12
Sc 0.5000 0.8527 0.5000  6 Sn 2.94-3.12